Version i
# Zn2SeCl | Alexandria | GGA-PBE | relaxed
# Magnetic moment (μB/atom): 0.000
# DOS at the Fermi energy (states/eV per cell): 0.0
# Mass density (g/cm³): 4.17
data_Zn2SeCl
_cell_length_a 6.017
_cell_length_b 6.235
_cell_length_c 6.572
_cell_angle_alpha 64.89
_cell_angle_beta 65.75
_cell_angle_gamma 65.79
_space_group_name_H-M_alt 'P 1'
_space_group_IT_number 1
loop_
_space_group_symop_operation_xyz
'x,y,z'
loop_
_atom_site_label
_atom_site_type_symbol
_atom_site_fract_x
_atom_site_fract_y
_atom_site_fract_z
_atom_site_occupancy
Zn1 Zn 0.000 0.000 0.000 1
Zn2 Zn 0.064 0.542 0.268 1
Zn3 Zn 0.459 0.697 0.081 1
Zn4 Zn 0.651 0.099 0.578 1
Se1 Se 0.575 0.073 0.975 1
Se2 Se 0.832 0.344 0.191 1
Cl1 Cl 0.216 0.170 0.585 1
Cl2 Cl 0.734 0.686 0.593 1

---

Version ii
# Zn2SeCl | Alexandria | GGA-PBE | relaxed
# Magnetic moment (μB/atom): 0.000
# DOS at the Fermi energy (states/eV per cell): 11.8
# Mass density (g/cm³): 5.23
data_Zn2SeCl
_cell_length_a 6.777
_cell_length_b 6.777
_cell_length_c 6.777
_cell_angle_alpha 90.00
_cell_angle_beta 90.00
_cell_angle_gamma 90.00
_space_group_name_H-M_alt 'F -4 3 m'
_space_group_IT_number 216
_space_group_name_Hall 'F -4 2 3'
loop_
_atom_site_label
_atom_site_type_symbol
_atom_site_fract_x
_atom_site_fract_y
_atom_site_fract_z
_atom_site_occupancy
Zn1 Zn 0.000 0.000 0.000 1
Zn2 Zn 0.250 0.250 0.250 1
Se1 Se 0.000 0.000 0.500 1
Cl1 Cl 0.250 0.250 0.750 1

---

Tell me which of them is the least stable. Sure, it is version ii.

---

Version i
# Zn2SeCl | Alexandria | GGA-PBE | relaxed
# Magnetic moment (μB/atom): 0.000
# DOS at the Fermi energy (states/eV per cell): 1.2
# Mass density (g/cm³): 3.66
data_Zn2SeCl
_cell_length_a 3.706
_cell_length_b 8.296
_cell_length_c 7.235
_cell_angle_alpha 90.00
_cell_angle_beta 90.00
_cell_angle_gamma 90.00
_space_group_name_H-M_alt 'C m m m'
_space_group_IT_number 65
_space_group_name_Hall '-C 2 2'
loop_
_atom_site_label
_atom_site_type_symbol
_atom_site_fract_x
_atom_site_fract_y
_atom_site_fract_z
_atom_site_occupancy
Zn1 Zn 0.000 0.000 0.234 1
Se1 Se 0.000 0.500 0.000 1
Cl1 Cl 0.000 0.500 0.500 1

---

Version ii
# Zn2SeCl | Alexandria | GGA-PBE | relaxed
# Magnetic moment (μB/atom): 0.000
# DOS at the Fermi energy (states/eV per cell): 2.1
# Mass density (g/cm³): 4.34
data_Zn2SeCl
_cell_length_a 3.640
_cell_length_b 3.640
_cell_length_c 14.181
_cell_angle_alpha 90.00
_cell_angle_beta 90.00
_cell_angle_gamma 90.00
_space_group_name_H-M_alt 'I -4 m 2'
_space_group_IT_number 119
_space_group_name_Hall 'I -4 -2'
loop_
_atom_site_label
_atom_site_type_symbol
_atom_site_fract_x
_atom_site_fract_y
_atom_site_fract_z
_atom_site_occupancy
Zn1 Zn 0.000 0.000 0.000 1
Zn2 Zn 0.000 0.500 0.250 1
Se1 Se 0.000 0.000 0.500 1
Cl1 Cl 0.000 0.500 0.750 1

---

Tell me which of them is the least stable. Sure, it is version ii.

---

Version i
# Zn2SeCl2 | Alexandria | GGA-PBE | relaxed
# Magnetic moment (μB/atom): 0.000
# DOS at the Fermi energy (states/eV per cell): 0.7
# Mass density (g/cm³): 3.85
data_Zn2SeCl2
_cell_length_a 7.407
_cell_length_b 7.407
_cell_length_c 4.412
_cell_angle_alpha 90.00
_cell_angle_beta 90.00
_cell_angle_gamma 90.00
_space_group_name_H-M_alt 'P 4/m b m'
_space_group_IT_number 127
_space_group_name_Hall '-P 4 2ab'
loop_
_atom_site_label
_atom_site_type_symbol
_atom_site_fract_x
_atom_site_fract_y
_atom_site_fract_z
_atom_site_occupancy
Zn1 Zn 0.229 0.271 0.000 1
Se1 Se 0.000 0.000 0.000 1
Cl1 Cl 0.150 0.350 0.500 1

---

Version ii
# Zn2SeCl2 | Alexandria | GGA-PBE | relaxed
# Magnetic moment (μB/atom): 0.046
# DOS at the Fermi energy (states/eV per cell): 4.0
# Mass density (g/cm³): 4.60
data_Zn2SeCl2
_cell_length_a 4.294
_cell_length_b 4.294
_cell_length_c 10.980
_cell_angle_alpha 90.00
_cell_angle_beta 90.00
_cell_angle_gamma 90.00
_space_group_name_H-M_alt 'I 4/m m m'
_space_group_IT_number 139
_space_group_name_Hall '-I 4 2'
loop_
_atom_site_label
_atom_site_type_symbol
_atom_site_fract_x
_atom_site_fract_y
_atom_site_fract_z
_atom_site_occupancy
Zn1 Zn 0.000 0.000 0.119 1
Se1 Se 0.000 0.000 0.500 1
Cl1 Cl 0.000 0.500 0.250 1

---

Tell me which of them is the least stable. Sure, it is version ii.

---

Version i
# ZrSe2Cl | Alexandria | GGA-PBE | relaxed
# Magnetic moment (μB/atom): 0.000
# DOS at the Fermi energy (states/eV per cell): 3.9
# Mass density (g/cm³): 5.28
data_ZrSe2Cl
_cell_length_a 9.469
_cell_length_b 3.625
_cell_length_c 5.370
_cell_angle_alpha 90.00
_cell_angle_beta 103.91
_cell_angle_gamma 90.00
_space_group_name_H-M_alt 'C 1 2/m 1'
_space_group_IT_number 12
loop_
_space_group_symop_operation_xyz
'x,y,z'
'-x,-y,-z'
'-x,y,-z'
'x,-y,z'
'x+1/2,y+1/2,z'
'-x+1/2,-y+1/2,-z'
'-x+1/2,y+1/2,-z'
'x+1/2,-y+1/2,z'
loop_
_atom_site_label
_atom_site_type_symbol
_atom_site_fract_x
_atom_site_fract_y
_atom_site_fract_z
_atom_site_occupancy
Zr1 Zr 0.000 0.000 0.000 1
Se1 Se 0.213 0.500 0.191 1
Cl1 Cl 0.000 0.500 0.500 1

---

Version ii
# ZrSe2Cl | Alexandria | GGA-PBE | relaxed
# Magnetic moment (μB/atom): 0.000
# DOS at the Fermi energy (states/eV per cell): 7.9
# Mass density (g/cm³): 4.76
data_ZrSe2Cl
_cell_length_a 3.4635
_cell_length_b 3.4635
_cell_length_c 28.6589
_cell_angle_alpha 90.00
_cell_angle_beta 90.00
_cell_angle_gamma 120.00
_space_group_name_H-M_alt 'R 3 m'
_space_group_IT_number 160
_space_group_name_Hall 'R 3 -2"'
loop_
_atom_site_label
_atom_site_type_symbol
_atom_site_fract_x
_atom_site_fract_y
_atom_site_fract_z
_atom_site_occupancy
Zr1 Zr 0.0000 0.0000 0.0000 1
Se1 Se 0.0000 0.0000 0.2729 1
Se2 Se 0.0000 0.0000 0.5127 1
Cl1 Cl 0.0000 0.0000 0.7268 1

---

Tell me which of them is the least stable. Sure, it is version i.

---

Version i
# ZrSe2Cl | Alexandria | GGA-PBE | relaxed
# Magnetic moment (μB/atom): 0.073
# DOS at the Fermi energy (states/eV per cell): 12.5
# Mass density (g/cm³): 4.72
data_ZrSe2Cl
_cell_length_a 3.7595
_cell_length_b 3.7595
_cell_length_c 24.5172
_cell_angle_alpha 90.00
_cell_angle_beta 90.00
_cell_angle_gamma 120.00
_space_group_name_H-M_alt 'R -3 m'
_space_group_IT_number 166
_space_group_name_Hall '-R 3 2"'
loop_
_atom_site_label
_atom_site_type_symbol
_atom_site_fract_x
_atom_site_fract_y
_atom_site_fract_z
_atom_site_occupancy
Zr1 Zr 0.0000 0.0000 0.0000 1
Se1 Se 0.0000 0.0000 0.2676 1
Cl1 Cl 0.0000 0.0000 0.5000 1

---

Version ii
# ZrSe2Cl | Alexandria | GGA-PBE | relaxed
# Magnetic moment (μB/atom): 0.000
# DOS at the Fermi energy (states/eV per cell): 2.8
# Mass density (g/cm³): 5.81
data_ZrSe2Cl
_cell_length_a 4.397
_cell_length_b 3.372
_cell_length_c 5.684
_cell_angle_alpha 90.00
_cell_angle_beta 105.05
_cell_angle_gamma 90.00
_space_group_name_H-M_alt 'P 1 2/m 1'
_space_group_IT_number 10
loop_
_space_group_symop_operation_xyz
'x,y,z'
'-x,-y,-z'
'-x,y,-z'
'x,-y,z'
loop_
_atom_site_label
_atom_site_type_symbol
_atom_site_fract_x
_atom_site_fract_y
_atom_site_fract_z
_atom_site_occupancy
Zr1 Zr 0.000 0.000 0.000 1
Se1 Se 0.000 0.500 0.500 1
Se2 Se 0.500 0.000 0.500 1
Cl1 Cl 0.500 0.500 0.000 1

---

Version iii
# ZrSe2Cl | Alexandria | GGA-PBE | relaxed
# Magnetic moment (μB/atom): 0.031
# DOS at the Fermi energy (states/eV per cell): 3.1
# Mass density (g/cm³): 5.58
data_ZrSe2Cl
_cell_length_a 5.119
_cell_length_b 8.750
_cell_length_c 3.782
_cell_angle_alpha 90.00
_cell_angle_beta 90.00
_cell_angle_gamma 90.00
_space_group_name_H-M_alt 'C m m m'
_space_group_IT_number 65
_space_group_name_Hall '-C 2 2'
loop_
_atom_site_label
_atom_site_type_symbol
_atom_site_fract_x
_atom_site_fract_y
_atom_site_fract_z
_atom_site_occupancy
Zr1 Zr 0.000 0.000 0.000 1
Se1 Se 0.250 0.250 0.500 1
Cl1 Cl 0.000 0.500 0.000 1

---

Tell me which of them is the least stable. Sure, it is version ii.

---

Version i
# ZrSe2Cl | Alexandria | GGA-PBE | relaxed
# Magnetic moment (μB/atom): 0.000
# DOS at the Fermi energy (states/eV per cell): 1.6
# Mass density (g/cm³): 4.46
data_ZrSe2Cl
_cell_length_a 5.143
_cell_length_b 3.806
_cell_length_c 5.714
_cell_angle_alpha 90.00
_cell_angle_beta 108.61
_cell_angle_gamma 90.00
_space_group_name_H-M_alt 'P 1 2/m 1'
_space_group_IT_number 10
loop_
_space_group_symop_operation_xyz
'x,y,z'
'-x,-y,-z'
'-x,y,-z'
'x,-y,z'
loop_
_atom_site_label
_atom_site_type_symbol
_atom_site_fract_x
_atom_site_fract_y
_atom_site_fract_z
_atom_site_occupancy
Zr1 Zr 0.000 0.000 0.000 1
Se1 Se 0.146 0.500 0.350 1
Cl1 Cl 0.500 0.000 0.000 1

---

Version ii
# ZrSe2Cl | Alexandria | GGA-PBE | relaxed
# Magnetic moment (μB/atom): 0.000
# DOS at the Fermi energy (states/eV per cell): 1.5
# Mass density (g/cm³): 5.75
data_ZrSe2Cl
_cell_length_a 3.688
_cell_length_b 3.688
_cell_length_c 6.039
_cell_angle_alpha 90.00
_cell_angle_beta 90.00
_cell_angle_gamma 90.00
_space_group_name_H-M_alt 'P 4/m m m'
_space_group_IT_number 123
_space_group_name_Hall '-P 4 2'
loop_
_atom_site_label
_atom_site_type_symbol
_atom_site_fract_x
_atom_site_fract_y
_atom_site_fract_z
_atom_site_occupancy
Zr1 Zr 0.000 0.000 0.000 1
Se1 Se 0.500 0.500 0.214 1
Cl1 Cl 0.000 0.000 0.500 1

---

Tell me which of them is the least stable. Sure, it is version ii.

---

Version i
# ZrSe2Cl | Alexandria | GGA-PBE | relaxed
# Magnetic moment (μB/atom): 0.000
# DOS at the Fermi energy (states/eV per cell): 3.4
# Mass density (g/cm³): 4.10
data_ZrSe2Cl
_cell_length_a 3.466
_cell_length_b 4.681
_cell_length_c 14.212
_cell_angle_alpha 90.00
_cell_angle_beta 90.00
_cell_angle_gamma 90.00
_space_group_name_H-M_alt 'I m m 2'
_space_group_IT_number 44
loop_
_space_group_symop_operation_xyz
'x,y,z'
'-x,-y,z'
'-x,y,z'
'x,-y,z'
'x+1/2,y+1/2,z+1/2'
'-x+1/2,-y+1/2,z+1/2'
'-x+1/2,y+1/2,z+1/2'
'x+1/2,-y+1/2,z+1/2'
loop_
_atom_site_label
_atom_site_type_symbol
_atom_site_fract_x
_atom_site_fract_y
_atom_site_fract_z
_atom_site_occupancy
Zr1 Zr 0.000 0.000 0.000 1
Se1 Se 0.000 0.000 0.477 1
Se2 Se 0.000 0.500 0.357 1
Cl1 Cl 0.000 0.500 0.643 1

---

Version ii
# ZrSe2Cl | Alexandria | GGA-PBE | relaxed
# Magnetic moment (μB/atom): 0.000
# DOS at the Fermi energy (states/eV per cell): 24.4
# Mass density (g/cm³): 3.55
data_ZrSe2Cl
_cell_length_a 6.842
_cell_length_b 6.842
_cell_length_c 11.363
_cell_angle_alpha 90.00
_cell_angle_beta 90.00
_cell_angle_gamma 90.00
_space_group_name_H-M_alt 'I -4 2 d'
_space_group_IT_number 122
_space_group_name_Hall 'I -4 2bw'
loop_
_atom_site_label
_atom_site_type_symbol
_atom_site_fract_x
_atom_site_fract_y
_atom_site_fract_z
_atom_site_occupancy
Zr1 Zr 0.000 0.000 0.000 1
Se1 Se 0.184 0.250 0.125 1
Cl1 Cl 0.000 0.000 0.500 1

---

Version iii
# ZrSe2Cl | Alexandria | GGA-PBE | relaxed
# Magnetic moment (μB/atom): 0.000
# DOS at the Fermi energy (states/eV per cell): 4.6
# Mass density (g/cm³): 5.94
data_ZrSe2Cl
_cell_length_a 4.366
_cell_length_b 4.366
_cell_length_c 8.342
_cell_angle_alpha 90.00
_cell_angle_beta 90.00
_cell_angle_gamma 90.00
_space_group_name_H-M_alt 'I 4/m m m'
_space_group_IT_number 139
_space_group_name_Hall '-I 4 2'
loop_
_atom_site_label
_atom_site_type_symbol
_atom_site_fract_x
_atom_site_fract_y
_atom_site_fract_z
_atom_site_occupancy
Zr1 Zr 0.000 0.000 0.000 1
Se1 Se 0.000 0.500 0.250 1
Cl1 Cl 0.000 0.000 0.500 1

---

Version iv
# ZrSe2Cl | Alexandria | GGA-PBE | relaxed
# Magnetic moment (μB/atom): 0.000
# DOS at the Fermi energy (states/eV per cell): 6.7
# Mass density (g/cm³): 5.82
data_ZrSe2Cl
_cell_length_a 6.875
_cell_length_b 6.875
_cell_length_c 6.875
_cell_angle_alpha 90.00
_cell_angle_beta 90.00
_cell_angle_gamma 90.00
_space_group_name_H-M_alt 'F m -3 m'
_space_group_IT_number 225
_space_group_name_Hall '-F 4 2 3'
loop_
_atom_site_label
_atom_site_type_symbol
_atom_site_fract_x
_atom_site_fract_y
_atom_site_fract_z
_atom_site_occupancy
Zr1 Zr 0.000 0.000 0.000 1
Se1 Se 0.250 0.250 0.250 1
Cl1 Cl 0.000 0.000 0.500 1

---

Tell me which of them is the least stable. Sure, it is version iv.

---

Version i
# ZrSe2Cl | Alexandria | GGA-PBE | relaxed
# Magnetic moment (μB/atom): 0.000
# DOS at the Fermi energy (states/eV per cell): 2.7
# Mass density (g/cm³): 4.80
data_ZrSe2Cl
_cell_length_a 3.469
_cell_length_b 3.469
_cell_length_c 8.186
_cell_angle_alpha 90.00
_cell_angle_beta 90.00
_cell_angle_gamma 90.00
_space_group_name_H-M_alt 'P 4 m m'
_space_group_IT_number 99
loop_
_space_group_symop_operation_xyz
'x,y,z'
'-y,x,z'
'-x,-y,z'
'y,-x,z'
'-x,y,z'
'y,x,z'
'x,-y,z'
'-y,-x,z'
loop_
_atom_site_label
_atom_site_type_symbol
_atom_site_fract_x
_atom_site_fract_y
_atom_site_fract_z
_atom_site_occupancy
Zr1 Zr 0.000 0.000 0.000 1
Se1 Se 0.000 0.000 0.657 1
Se2 Se 0.500 0.500 0.844 1
Cl1 Cl 0.500 0.500 0.213 1

---

Version ii
# ZrSe2Cl | Alexandria | GGA-PBE | relaxed
# Magnetic moment (μB/atom): 0.000
# DOS at the Fermi energy (states/eV per cell): 2.5
# Mass density (g/cm³): 5.93
data_ZrSe2Cl
_cell_length_a 3.560
_cell_length_b 4.323
_cell_length_c 5.178
_cell_angle_alpha 90.00
_cell_angle_beta 90.00
_cell_angle_gamma 90.00
_space_group_name_H-M_alt 'P m m m'
_space_group_IT_number 47
loop_
_space_group_symop_operation_xyz
'x,y,z'
'-x,-y,-z'
'-x,-y,z'
'x,y,-z'
'x,-y,-z'
'-x,y,z'
'-x,y,-z'
'x,-y,z'
loop_
_atom_site_label
_atom_site_type_symbol
_atom_site_fract_x
_atom_site_fract_y
_atom_site_fract_z
_atom_site_occupancy
Zr1 Zr 0.000 0.000 0.000 1
Se1 Se 0.000 0.500 0.500 1
Se2 Se 0.500 0.000 0.500 1
Cl1 Cl 0.500 0.500 0.000 1

---

Version iii
# ZrSe2Cl | Alexandria | GGA-PBE | relaxed
# Magnetic moment (μB/atom): 0.000
# DOS at the Fermi energy (states/eV per cell): 7.9
# Mass density (g/cm³): 4.30
data_ZrSe2Cl
_cell_length_a 3.354
_cell_length_b 5.118
_cell_length_c 12.796
_cell_angle_alpha 90.00
_cell_angle_beta 90.00
_cell_angle_gamma 90.00
_space_group_name_H-M_alt 'I m m m'
_space_group_IT_number 71
_space_group_name_Hall '-I 2 2'
loop_
_atom_site_label
_atom_site_type_symbol
_atom_site_fract_x
_atom_site_fract_y
_atom_site_fract_z
_atom_site_occupancy
Zr1 Zr 0.000 0.000 0.000 1
Se1 Se 0.000 0.500 0.339 1
Cl1 Cl 0.000 0.000 0.500 1

---

Version iv
# ZrSe2Cl | Alexandria | GGA-PBE | relaxed
# Magnetic moment (μB/atom): 0.000
# DOS at the Fermi energy (states/eV per cell): 3.1
# Mass density (g/cm³): 4.31
data_ZrSe2Cl
_cell_length_a 3.950
_cell_length_b 3.411
_cell_length_c 8.321
_cell_angle_alpha 90.00
_cell_angle_beta 101.91
_cell_angle_gamma 90.00
_space_group_name_H-M_alt 'P 1 m 1'
_space_group_IT_number 6
loop_
_space_group_symop_operation_xyz
'x,y,z'
'x,-y,z'
loop_
_atom_site_label
_atom_site_type_symbol
_atom_site_fract_x
_atom_site_fract_y
_atom_site_fract_z
_atom_site_occupancy
Zr1 Zr 0.000 0.000 0.000 1
Se1 Se 0.188 0.000 0.334 1
Se2 Se 0.547 0.500 0.114 1
Cl1 Cl 0.900 0.500 0.760 1

---

Tell me which of them is the least stable. Sure, it is version ii.